Material: Tm2BiRh
Method: DFT, PBE-GGA
State: optimized geometry

Values from the calculation:
- D(E_F): 1.2 states/eV/f.u.
- ΔH_f (0 K): -0.73 eV/atom

Cell lengths 3.5330, 3.5330, 7.6647 Å; angles 90.00, 90.00, 90.00 degrees
Element x y z (fractional)
Rh 0.5000 0.5000 0.0000
Tm 0.0000 0.0000 0.7910
Bi 0.5000 0.5000 0.5000
Tm 0.0000 0.0000 0.2090